Record 1
# PBE-GGA SrNb2VN4, optimized geometry
data_SrNb2VN4
_cell_length_a 3.225
_cell_length_b 11.164
_cell_length_c 11.020
_cell_angle_alpha 90.00
_cell_angle_beta 90.00
_cell_angle_gamma 90.00
_space_group_name_H-M_alt 'C m c m'
_space_group_IT_number 63
_space_group_name_Hall '-C 2c 2'
loop_
_atom_site_label
_atom_site_fract_x
_atom_site_fract_y
_atom_site_fract_z
Sr1 0.000 0.103 0.250
Nb1 0.000 0.370 0.040
V1 0.000 0.163 0.750
N1 0.000 0.000 0.000
N2 0.000 0.264 0.615
N3 0.000 0.426 0.250
# - crystal system = orthorhombic
# - DFT total energy (eV/atom) = -9.02
# - M_tot (μB/cell) = 0.000
# - mass density (Mg/m³) = 6.369

***

Record 2
# PBE-GGA NaCa3In12, optimized geometry
data_NaCa3In12
_cell_length_a 4.752
_cell_length_b 4.752
_cell_length_c 18.638
_cell_angle_alpha 90.00
_cell_angle_beta 90.00
_cell_angle_gamma 90.00
_space_group_name_H-M_alt 'P 4/m m m'
_space_group_IT_number 123
_space_group_name_Hall '-P 4 2'
loop_
_atom_site_label
_atom_site_fract_x
_atom_site_fract_y
_atom_site_fract_z
Na1 0.000 0.000 0.000
Ca1 0.000 0.000 0.249
Ca2 0.000 0.000 0.500
In1 0.000 0.500 0.123
In2 0.000 0.500 0.374
In3 0.500 0.500 0.000
In4 0.500 0.500 0.251
In5 0.500 0.500 0.500
# - formation enthalpy at 0 K (eV per formula unit) = -4.1
# - crystal system = tetragonal
# - M_tot (μB/cell) = 0.000
# - mass density (Mg/m³) = 6.001

***

Record 3
# PBE-GGA Pa6Si2Tc, optimized geometry
data_Pa6Si2Tc
_cell_length_a 8.3143
_cell_length_b 8.3143
_cell_length_c 3.2257
_cell_angle_alpha 90.00
_cell_angle_beta 90.00
_cell_angle_gamma 120.00
_space_group_name_H-M_alt 'P -3'
_space_group_IT_number 147
_space_group_name_Hall '-P 3'
loop_
_atom_site_label
_atom_site_fract_x
_atom_site_fract_y
_atom_site_fract_z
Pa1 0.0493 0.6907 0.2322
Si1 0.3333 0.6667 0.7361
Tc1 0.0000 0.0000 0.5000
# - crystal system = trigonal
# - DFT total energy (eV/atom) = -8.89
# - M_tot (μB/cell) = 0.000
# - mass density (Mg/m³) = 13.246

***

Record 4
# PBE-GGA HfNbRu2, optimized geometry
data_HfNbRu2
_cell_length_a 2.880
_cell_length_b 4.938
_cell_length_c 9.987
_cell_angle_alpha 90.00
_cell_angle_beta 90.00
_cell_angle_gamma 90.00
_space_group_name_H-M_alt 'I m m m'
_space_group_IT_number 71
_space_group_name_Hall '-I 2 2'
loop_
_atom_site_label
_atom_site_fract_x
_atom_site_fract_y
_atom_site_fract_z
Hf1 0.000 0.000 0.000
Nb1 0.000 0.000 0.500
Ru1 0.000 0.000 0.261
# - formation enthalpy at 0 K (eV per formula unit) = 1.7
# - crystal system = orthorhombic
# - M_tot (μB/cell) = 0.000
# - mass density (Mg/m³) = 11.072

***

Record 5
# PBE-GGA LaTb3Pm2Y6, optimized geometry
data_LaTb3Pm2Y6
_cell_length_a 6.240
_cell_length_b 10.802
_cell_length_c 11.874
_cell_angle_alpha 90.00
_cell_angle_beta 100.04
_cell_angle_gamma 90.00
_space_group_name_H-M_alt 'C 1 2/m 1'
_space_group_IT_number 12
_space_group_name_Hall '-C 2y'
loop_
_atom_site_label
_atom_site_fract_x
_atom_site_fract_y
_atom_site_fract_z
La1 0.000 0.000 0.000
Tb1 0.000 0.167 0.500
Tb2 0.000 0.500 0.500
Pm1 0.000 0.333 0.000
Y1 0.248 0.333 0.747
Y2 0.249 0.000 0.747
# - formation enthalpy at 0 K (eV per formula unit) = 0.2
# - crystal system = monoclinic
# - M_tot (μB/cell) = 0.000
# - mass density (Mg/m³) = 6.065

***

Record 6
# PBE-GGA YLu2Bi, optimized geometry
data_YLu2Bi
_cell_length_a 4.809
_cell_length_b 4.809
_cell_length_c 4.912
_cell_angle_alpha 90.00
_cell_angle_beta 90.00
_cell_angle_gamma 90.00
_space_group_name_H-M_alt 'P 4/m m m'
_space_group_IT_number 123
_space_group_name_Hall '-P 4 2'
loop_
_atom_site_label
_atom_site_fract_x
_atom_site_fract_y
_atom_site_fract_z
Y1 0.000 0.000 0.000
Lu1 0.000 0.500 0.500
Bi1 0.500 0.500 0.000
# - formation enthalpy at 0 K (eV per formula unit) = -1.1
# - crystal system = tetragonal
# - M_tot (μB/cell) = 1.289
# - mass density (Mg/m³) = 9.470

***

Record 7
# PBE-GGA DySc3S4, optimized geometry
data_DySc3S4
_cell_length_a 7.531
_cell_length_b 10.609
_cell_length_c 3.733
_cell_angle_alpha 90.00
_cell_angle_beta 90.00
_cell_angle_gamma 90.00
_space_group_name_H-M_alt 'C m m m'
_space_group_IT_number 65
_space_group_name_Hall '-C 2 2'
loop_
_atom_site_label
_atom_site_fract_x
_atom_site_fract_y
_atom_site_fract_z
Dy1 0.000 0.000 0.000
Sc1 0.000 0.500 0.000
Sc2 0.250 0.250 0.500
S1 0.000 0.255 0.000
S2 0.239 0.500 0.500
# - crystal system = orthorhombic
# - DFT total energy (eV/atom) = -6.90
# - M_tot (μB/cell) = 0.000
# - mass density (Mg/m³) = 4.740

***

Record 8
# PBE-GGA AlInTc2, optimized geometry
data_AlInTc2
_cell_length_a 4.124
_cell_length_b 4.124
_cell_length_c 7.509
_cell_angle_alpha 90.00
_cell_angle_beta 90.00
_cell_angle_gamma 90.00
_space_group_name_H-M_alt 'I -4 m 2'
_space_group_IT_number 119
_space_group_name_Hall 'I -4 -2'
loop_
_atom_site_label
_atom_site_fract_x
_atom_site_fract_y
_atom_site_fract_z
Al1 0.000 0.000 0.000
In1 0.000 0.500 0.750
Tc1 0.000 0.000 0.500
Tc2 0.000 0.500 0.250
# - formation enthalpy at 0 K (eV per formula unit) = 0.6
# - crystal system = tetragonal
# - M_tot (μB/cell) = 0.000
# - mass density (Mg/m³) = 8.784